RbTl2Hg7, optimized geometry, DFT PBE; symmetry = Cmmm; ΔE_f = -12 meV/atom; spin magnetization = 0.00 μB per formula unit
1.0
-3.8855 -3.6070 -0.3151
6.8515 -7.6311 2.8673
-4.8996 4.8540 4.8520
Rb Tl Hg
1 2 7
Direct
0.0000 0.0000 0.0000
0.5000 0.7555 0.5109
0.5000 0.2445 0.4891
0.0000 0.6302 0.2605
0.0000 0.3698 0.7395
0.5000 0.6403 0.7660
0.5000 0.3597 0.2340
0.5000 0.8743 0.2340
0.5000 0.1257 0.7660
0.5000 0.5000 0.0000